The following is a PBE-GGA calculation of Cs3MgSb2O6 after structural relaxation, from the Alexandria database.

Cell lengths 6.273, 6.273, 7.783 Å; angles 90.00, 90.00, 120.00 degrees
Positions (direct):
Cs  0.333  0.667  0.683
Cs  0.667  0.333  0.317
Cs  0.000  0.000  0.000
Mg  0.000  0.000  0.500
Sb  0.667  0.333  0.763
Sb  0.333  0.667  0.237
O  0.662  0.831  0.338
O  0.169  0.338  0.338
O  0.169  0.831  0.338
O  0.831  0.662  0.662
O  0.338  0.169  0.662
O  0.831  0.169  0.662

Summary:
Crystal system: trigonal
Volume (Å³/f.u.): 265
E (eV/atom): -5.034
Space-group type: P-3m1
Uncorrected formation energy (eV/atom): -1.521
ρ (Mg/m³): 4.774
Density of states at the Fermi level (states/eV per atom): 0.298